Record 1
## AcPtW (PBE-GGA)

Data for crystalline AcPtW at its relaxed geometry.

**Raw total energy**: -7.623 eV/atom
**Volume**: 23.63 Å³/atom
**DFT formation energy**: 0.2 eV per formula unit
**Density of states at the Fermi level**: 15.3 states/eV/cell

a b c (Å): 5.056 5.085 11.031
angles (deg): 90.00 90.00 90.00
Space group Cmmm (No. 65)
One atom of each set of equivalent atoms:
1 Ac 0.000 0.000 0.178
2 Pt 0.000 0.000 0.500
3 Pt 0.000 0.500 0.000
4 W 0.000 0.500 0.393

***

Record 2
## AcY2Pt (PBE-GGA)

Data for crystalline AcY2Pt at its relaxed geometry.

**Raw total energy**: -6.328 eV/atom
**Volume**: 33.48 Å³/atom
**DFT formation energy**: -2.2 eV per formula unit
**Density of states at the Fermi level**: 14.3 states/eV/cell

a b c (Å): 4.0786 4.0786 27.8863
angles (deg): 90.00 90.00 120.00
Space group R3m (No. 160, hexagonal axes)
One atom of each set of equivalent atoms:
1 Ac 0.0000 0.0000 0.0000
2 Y 0.0000 0.0000 0.5530
3 Y 0.0000 0.0000 0.7758
4 Pt 0.0000 0.0000 0.1639

***

Record 3
## AcY2Pt (PBE-GGA)

Data for crystalline AcY2Pt at its relaxed geometry.

**Raw total energy**: -6.309 eV/atom
**Volume**: 33.74 Å³/atom
**DFT formation energy**: -2.2 eV per formula unit
**Density of states at the Fermi level**: 16.3 states/eV/cell

a b c (Å): 4.0548 4.0548 28.4370
angles (deg): 90.00 90.00 120.00
Space group R-3m (No. 166, hexagonal axes)
One atom of each set of equivalent atoms:
1 Ac 0.0000 0.0000 0.0000
2 Y 0.0000 0.0000 0.2214
3 Pt 0.0000 0.0000 0.5000

***

Record 4
## Ac3YPt8 (PBE-GGA)

Data for crystalline Ac3YPt8 at its relaxed geometry.

**Raw total energy**: -6.623 eV/atom
**Volume**: 20.79 Å³/atom
**DFT formation energy**: -12.4 eV per formula unit
**Density of states at the Fermi level**: 7.6 states/eV/cell

a b c (Å): 5.6053 5.6053 27.5094
angles (deg): 90.00 90.00 120.00
Space group R3m (No. 160, hexagonal axes)
One atom of each set of equivalent atoms:
1 Ac 0.0000 0.0000 0.0000
2 Ac 0.0000 0.0000 0.1262
3 Ac 0.0000 0.0000 0.5040
4 Y 0.0000 0.0000 0.6278
5 Pt 0.0000 0.0000 0.3139
6 Pt 0.0000 0.0000 0.8142
7 Pt 0.0007 0.5004 0.5658
8 Pt 0.1677 0.3353 0.3959

***

Record 5
## Ac2YPt9 (PBE-GGA)

Data for crystalline Ac2YPt9 at its relaxed geometry.

**Raw total energy**: -6.621 eV/atom
**Volume**: 19.97 Å³/atom
**DFT formation energy**: -10.4 eV per formula unit
**Density of states at the Fermi level**: 32.6 states/eV/cell

a b c (Å): 5.5065 5.5065 27.3745
angles (deg): 90.00 90.00 120.00
Space group R-3m (No. 166, hexagonal axes)
One atom of each set of equivalent atoms:
1 Ac 0.0000 0.0000 0.1381
2 Y 0.0000 0.0000 0.0000
3 Pt 0.0000 0.0000 0.3328
4 Pt 0.0000 0.0000 0.5000
5 Pt 0.0024 0.5012 0.9179

***

Record 6
## Ac2Y3Pt4 (PBE-GGA)

Data for crystalline Ac2Y3Pt4 at its relaxed geometry.

**Raw total energy**: -6.893 eV/atom
**Volume**: 25.75 Å³/atom
**DFT formation energy**: -10.3 eV per formula unit
**Density of states at the Fermi level**: 11.7 states/eV/cell

a b c (Å): 7.763 7.814 8.087
angles (deg): 90.00 109.15 90.00
Space group P2_1/c (No. 14)
One atom of each set of equivalent atoms:
1 Ac 0.198 0.175 0.083
2 Y 0.249 0.663 0.249
3 Y 0.500 0.000 0.500
4 Pt 0.095 0.542 0.869
5 Pt 0.498 0.635 0.626

***

Record 7
## AcYPt2 (PBE-GGA)

Data for crystalline AcYPt2 at its relaxed geometry.

**Raw total energy**: -6.752 eV/atom
**Volume**: 27.17 Å³/atom
**DFT formation energy**: -4.4 eV per formula unit
**Density of states at the Fermi level**: 5.5 states/eV/cell

a b c (Å): 4.2014 4.2014 21.3297
angles (deg): 90.00 90.00 120.00
Space group R3m (No. 160, hexagonal axes)
One atom of each set of equivalent atoms:
1 Ac 0.0000 0.0000 0.0000
2 Y 0.0000 0.0000 0.8271
3 Pt 0.0000 0.0000 0.4218
4 Pt 0.0000 0.0000 0.5711

***

Record 8
## AcY2Pt (PBE-GGA)

Data for crystalline AcY2Pt at its relaxed geometry.

**Raw total energy**: -6.424 eV/atom
**Volume**: 30.74 Å³/atom
**DFT formation energy**: -2.6 eV per formula unit
**Density of states at the Fermi level**: 17.2 states/eV/cell

a b c (Å): 7.373 9.976 6.687
angles (deg): 90.00 90.00 90.00
Space group Pnma (No. 62)
One atom of each set of equivalent atoms:
1 Ac 0.028 0.250 0.143
2 Y 0.175 0.066 0.670
3 Pt 0.116 0.750 0.416

***

Record 9
## AcYPt2 (PBE-GGA)

Data for crystalline AcYPt2 at its relaxed geometry.

**Raw total energy**: -6.758 eV/atom
**Volume**: 25.63 Å³/atom
**DFT formation energy**: -4.4 eV per formula unit
**Density of states at the Fermi level**: 7.1 states/eV/cell

a b c (Å): 4.7829 4.7829 15.5253
angles (deg): 90.00 90.00 120.00
Space group R-3m (No. 166, hexagonal axes)
One atom of each set of equivalent atoms:
1 Ac 0.0000 0.0000 0.0000
2 Y 0.0000 0.0000 0.5000
3 Pt 0.0000 0.0000 0.2203

***

Record 10
## Ac6YPt4 (PBE-GGA)

Data for crystalline Ac6YPt4 at its relaxed geometry.

**Raw total energy**: -5.778 eV/atom
**Volume**: 32.26 Å³/atom
**DFT formation energy**: -8.3 eV per formula unit
**Density of states at the Fermi level**: 18.0 states/eV/cell

a b c (Å): 9.214 8.933 9.375
angles (deg): 90.00 113.12 90.00
Space group Cm (No. 8)
One atom of each set of equivalent atoms:
1 Ac 0.000 0.000 0.000
2 Ac 0.024 0.500 0.962
3 Ac 0.141 0.234 0.691
4 Ac 0.246 0.288 0.346
5 Y 0.431 0.000 0.305
6 Pt 0.295 0.227 0.045
7 Pt 0.354 0.500 0.634
8 Pt 0.367 0.000 0.603

***

Record 11
## AcY2Pt (PBE-GGA)

Data for crystalline AcY2Pt at its relaxed geometry.

**Raw total energy**: -6.346 eV/atom
**Volume**: 29.72 Å³/atom
**DFT formation energy**: -2.3 eV per formula unit
**Density of states at the Fermi level**: 3.9 states/eV/cell

a b c (Å): 3.619 3.619 9.078
angles (deg): 90.00 90.00 90.00
Space group P4/mmm (No. 123)
One atom of each set of equivalent atoms:
1 Ac 0.000 0.000 0.000
2 Y 0.500 0.500 0.321
3 Pt 0.000 0.000 0.500

***

Record 12
## AcYPt2 (PBE-GGA)

Data for crystalline AcYPt2 at its relaxed geometry.

**Raw total energy**: -6.825 eV/atom
**Volume**: 25.18 Å³/atom
**DFT formation energy**: -4.6 eV per formula unit
**Density of states at the Fermi level**: 5.2 states/eV/cell

a b c (Å): 4.604 3.963 11.042
angles (deg): 90.00 90.00 90.00
Space group Amm2 (No. 38)
One atom of each set of equivalent atoms:
1 Ac 0.000 0.000 0.000
2 Y 0.500 0.000 0.273
3 Pt 0.000 0.000 0.728
4 Pt 0.500 0.000 0.552

***

Record 13
## AcYPt10 (PBE-GGA)

Data for crystalline AcYPt10 at its relaxed geometry.

**Raw total energy**: -6.642 eV/atom
**Volume**: 19.03 Å³/atom
**DFT formation energy**: -8.7 eV per formula unit
**Density of states at the Fermi level**: 8.7 states/eV/cell

a b c (Å): 4.445 5.453 9.424
angles (deg): 90.00 90.00 90.00
Space group Pmmm (No. 47)
One atom of each set of equivalent atoms:
1 Ac 0.000 0.000 0.000
2 Y 0.000 0.500 0.500
3 Pt 0.000 0.000 0.340
4 Pt 0.000 0.500 0.176
5 Pt 0.500 0.000 0.500
6 Pt 0.500 0.252 0.255
7 Pt 0.500 0.500 0.000

***

Record 14
## Ac3YPt3 (PBE-GGA)

Data for crystalline Ac3YPt3 at its relaxed geometry.

**Raw total energy**: -6.250 eV/atom
**Volume**: 32.21 Å³/atom
**DFT formation energy**: -6.8 eV per formula unit
**Density of states at the Fermi level**: 18.5 states/eV/cell

a b c (Å): 8.748 7.645 13.487
angles (deg): 90.00 90.20 90.00
Space group P2_1/c (No. 14)
One atom of each set of equivalent atoms:
1 Ac 0.117 0.157 0.168
2 Ac 0.371 0.683 0.329
3 Ac 0.380 0.193 0.427
4 Y 0.140 0.655 0.066
5 Pt 0.116 0.548 0.864
6 Pt 0.349 0.548 0.546
7 Pt 0.367 0.065 0.648

***

Record 15
## Ac2YPt (PBE-GGA)

Data for crystalline Ac2YPt at its relaxed geometry.

**Raw total energy**: -5.424 eV/atom
**Volume**: 39.32 Å³/atom
**DFT formation energy**: -1.0 eV per formula unit
**Density of states at the Fermi level**: 17.5 states/eV/cell

a b c (Å): 4.0590 4.0590 33.0654
angles (deg): 90.00 90.00 120.00
Space group R-3m (No. 166, hexagonal axes)
One atom of each set of equivalent atoms:
1 Ac 0.0000 0.0000 0.1103
2 Y 0.0000 0.0000 0.0000
3 Pt 0.0000 0.0000 0.5000

***

Record 16
## AcYPt2 (PBE-GGA)

Data for crystalline AcYPt2 at its relaxed geometry.

**Raw total energy**: -6.745 eV/atom
**Volume**: 24.16 Å³/atom
**DFT formation energy**: -4.3 eV per formula unit
**Density of states at the Fermi level**: 2.6 states/eV/cell

a b c (Å): 3.637 3.637 7.307
angles (deg): 90.00 90.00 90.00
Space group P4/mmm (No. 123)
One atom of each set of equivalent atoms:
1 Ac 0.000 0.000 0.000
2 Y 0.000 0.000 0.500
3 Pt 0.500 0.500 0.281

***

Record 17
## AcYPt4 (PBE-GGA)

Data for crystalline AcYPt4 at its relaxed geometry.

**Raw total energy**: -6.825 eV/atom
**Volume**: 20.20 Å³/atom
**DFT formation energy**: -6.2 eV per formula unit
**Density of states at the Fermi level**: 6.6 states/eV/cell

a b c (Å): 7.856 7.856 7.856
angles (deg): 90.00 90.00 90.00
Space group F-43m (No. 216)
One atom of each set of equivalent atoms:
1 Ac 0.000 0.000 0.000
2 Y 0.250 0.250 0.250
3 Pt 0.125 0.125 0.625

***

Record 18
## AcYPt2 (PBE-GGA)

Data for crystalline AcYPt2 at its relaxed geometry.

**Raw total energy**: -6.783 eV/atom
**Volume**: 25.49 Å³/atom
**DFT formation energy**: -4.5 eV per formula unit
**Density of states at the Fermi level**: 4.3 states/eV/cell

a b c (Å): 6.166 4.769 7.543
angles (deg): 90.00 113.15 90.00
Space group P2_1/m (No. 11)
One atom of each set of equivalent atoms:
1 Ac 0.210 0.250 0.376
2 Y 0.289 0.250 0.907
3 Pt 0.181 0.750 0.077
4 Pt 0.328 0.750 0.699

***

Record 19
## Ac5YPt4 (PBE-GGA)

Data for crystalline Ac5YPt4 at its relaxed geometry.

**Raw total energy**: -6.063 eV/atom
**Volume**: 34.02 Å³/atom
**DFT formation energy**: -9.5 eV per formula unit
**Density of states at the Fermi level**: 14.8 states/eV/cell

a b c (Å): 18.870 4.359 8.538
angles (deg): 90.00 104.30 90.00
Space group C2/m (No. 12)
One atom of each set of equivalent atoms:
1 Ac 0.000 0.000 0.000
2 Ac 0.161 0.500 0.829
3 Ac 0.167 0.500 0.347
4 Y 0.000 0.000 0.500
5 Pt 0.001 0.500 0.257
6 Pt 0.165 0.000 0.591

***

Record 20
## AcYPt2 (PBE-GGA)

Data for crystalline AcYPt2 at its relaxed geometry.

**Raw total energy**: -6.688 eV/atom
**Volume**: 24.39 Å³/atom
**DFT formation energy**: -4.1 eV per formula unit
**Density of states at the Fermi level**: 15.8 states/eV/cell

a b c (Å): 7.307 7.307 7.307
angles (deg): 90.00 90.00 90.00
Space group Fm-3m (No. 225)
One atom of each set of equivalent atoms:
1 Ac 0.000 0.000 0.000
2 Y 0.000 0.000 0.500
3 Pt 0.250 0.250 0.250